(1)
A plane-wave DFT calculation with GGA-PBE was carried out for Tb5Ho4Zr after structural relaxation.

Properties
Distance to the lowest polymorph of the same formula ... 136 meV/atom
ΔH_f (0 K) ... 0.253 eV/atom
Total DFT energy (no corrections) ... -94.96 eV per cell

Lattice parameters (Å, degrees): 10.358 10.358 5.913 90.00 90.00 90.00
Space group I4mm (No. 107)
Symmetry-distinct sites (fractional):
Tb 0.000 0.000 0.000
Tb 0.184 0.184 0.299
Ho 0.000 0.321 0.766
Zr 0.000 0.000 0.542


(2)
A plane-wave DFT calculation with GGA-PBE was carried out for TbHo14Zr after structural relaxation.

Properties
ΔH_f (0 K) ... 0.035 eV/atom
Total DFT energy (no corrections) ... -76.71 eV per cell

Lattice parameters (Å, degrees): 7.008 7.008 9.882 90.00 90.00 90.00
Space group P4/mmm (No. 123)
Symmetry-distinct sites (fractional):
Tb 0.000 0.000 0.000
Ho 0.000 0.000 0.500
Ho 0.000 0.500 0.000
Ho 0.000 0.500 0.500
Ho 0.255 0.255 0.245
Ho 0.500 0.500 0.500
Zr 0.500 0.500 0.000


(3)
A plane-wave DFT calculation with GGA-PBE was carried out for Tb5Ho4Zr2 after structural relaxation.

Properties
ΔH_f (0 K) ... 0.109 eV/atom
Total DFT energy (no corrections) ... -57.36 eV per cell

Lattice parameters (Å, degrees): 8.638 3.438 11.271 90.00 93.52 90.00
Space group P2/m (No. 10)
Symmetry-distinct sites (fractional):
Tb 0.000 0.000 0.000
Tb 0.079 0.000 0.297
Tb 0.309 0.000 0.832
Ho 0.231 0.500 0.552
Ho 0.343 0.500 0.120
Zr 0.447 0.000 0.369


(4)
A plane-wave DFT calculation with GGA-PBE was carried out for Tb4Ho5Zr after structural relaxation.

Properties
Distance to the lowest polymorph of the same formula ... 206 meV/atom
ΔH_f (0 K) ... 0.247 eV/atom
Total DFT energy (no corrections) ... -94.98 eV per cell

Lattice parameters (Å, degrees): 10.382 10.382 5.885 90.00 90.00 90.00
Space group I4mm (No. 107)
Symmetry-distinct sites (fractional):
Tb 0.000 0.321 0.000
Ho 0.000 0.000 0.238
Ho 0.184 0.184 0.533
Zr 0.000 0.000 0.776


(5)
A plane-wave DFT calculation with GGA-PBE was carried out for Tb8Ho2Zr after structural relaxation.

Properties
Distance to the lowest polymorph of the same formula ... 166 meV/atom
ΔH_f (0 K) ... 0.211 eV/atom
Total DFT energy (no corrections) ... -104.86 eV per cell

Lattice parameters (Å, degrees): 16.530 6.533 6.557 90.00 102.30 90.00
Space group C2/m (No. 12)
Symmetry-distinct sites (fractional):
Tb 0.080 0.244 0.386
Tb 0.095 0.000 0.916
Tb 0.246 0.500 0.338
Ho 0.184 0.500 0.820
Zr 0.000 0.500 0.000


(6)
A plane-wave DFT calculation with GGA-PBE was carried out for HoTc3 after structural relaxation.

Properties
ΔH_f (0 K) ... 0.179 eV/atom
Total DFT energy (no corrections) ... -139.84 eV per cell

Lattice parameters (Å, degrees): 4.546 4.546 12.947 90.00 90.00 90.00
Space group I4/mmm (No. 139)
Symmetry-distinct sites (fractional):
Ho 0.000 0.000 0.124
Tc 0.000 0.000 0.371
Tc 0.000 0.500 0.000
Tc 0.000 0.500 0.250


(7)
A plane-wave DFT calculation with GGA-PBE was carried out for HoTc4 after structural relaxation.

Properties
ΔH_f (0 K) ... 2.522 eV/atom
Total DFT energy (no corrections) ... -33.43 eV per cell

Lattice parameters (Å, degrees): 4.714 4.714 4.714 90.00 90.00 90.00
Space group Pm-3m (No. 221)
Symmetry-distinct sites (fractional):
Ho 0.000 0.000 0.000
Tc 0.000 0.000 0.500
Tc 0.500 0.500 0.500


(8)
A plane-wave DFT calculation with GGA-PBE was carried out for Ho3TcTe after structural relaxation.

Properties
Distance to the lowest polymorph of the same formula ... 0 meV/atom
Total DFT energy (no corrections) ... -119.81 eV per cell

Lattice parameters (Å, degrees): 11.996 4.309 11.495 90.00 116.80 90.00
Space group C2/m (No. 12)
Symmetry-distinct sites (fractional):
Ho 0.036 0.000 0.363
Ho 0.127 0.500 0.167
Ho 0.174 0.500 0.879
Tc 0.044 0.000 0.919
Te 0.173 0.500 0.603


(9)
A plane-wave DFT calculation with GGA-PBE was carried out for Ho6TcTe2 after structural relaxation.

Properties
Total DFT energy (no corrections) ... -50.07 eV per cell

Lattice parameters (Å, degrees): 8.2738 8.2738 4.0748 90.00 90.00 120.00
Space group P-62m (No. 189)
Symmetry-distinct sites (fractional):
Ho 0.0000 0.3914 0.0000
Ho 0.0000 0.7620 0.5000
Tc 0.0000 0.0000 0.0000
Te 0.3333 0.6667 0.5000


(10)
A plane-wave DFT calculation with GGA-PBE was carried out for Ho8TcTe2 after structural relaxation.

Properties
Total DFT energy (no corrections) ... -115.18 eV per cell

Lattice parameters (Å, degrees): 18.754 4.434 7.574 90.00 96.84 90.00
Space group C2/m (No. 12)
Symmetry-distinct sites (fractional):
Ho 0.002 0.000 0.278
Ho 0.093 0.500 0.008
Ho 0.142 0.500 0.532
Ho 0.212 0.000 0.854
Tc 0.000 0.500 0.500
Te 0.182 0.000 0.264


(11)
A plane-wave DFT calculation with GGA-PBE was carried out for Ho3TcTe after structural relaxation.

Properties
Distance to the lowest polymorph of the same formula ... 51 meV/atom
Total DFT energy (no corrections) ... -118.79 eV per cell

Lattice parameters (Å, degrees): 14.968 4.807 8.468 90.00 114.64 90.00
Space group C2/m (No. 12)
Symmetry-distinct sites (fractional):
Ho 0.067 0.000 0.208
Ho 0.106 0.500 0.845
Ho 0.241 0.000 0.744
Tc 0.173 0.000 0.010
Te 0.125 0.500 0.471


(12)
A plane-wave DFT calculation with GGA-PBE was carried out for Ho2ThTc after structural relaxation.

Properties
Distance to the lowest polymorph of the same formula ... 0 meV/atom
ΔH_f (0 K) ... -0.171 eV/atom
Total DFT energy (no corrections) ... -110.50 eV per cell

Lattice parameters (Å, degrees): 7.328 9.475 6.357 90.00 90.00 90.00
Space group Pnma (No. 62)
Symmetry-distinct sites (fractional):
Ho 0.175 0.066 0.169
Th 0.049 0.250 0.641
Tc 0.128 0.750 0.983


Which of these has the highest total DFT energy (no corrections)? HoTc4


Look up the total DFT energy (no corrections) of the sixth one. -139.84 eV per cell


Look up the total DFT energy (no corrections) of the eighth one. -119.81 eV per cell